This record from the Alexandria database describes a relaxed NiHO2F crystal. The functional is GGA+U.

Lattice parameters (Å, degrees): 3.764 3.764 3.909 90.00 90.00 90.00
Sites, in units of the cell vectors:
O (0.500, 0.000, 0.000)
O (0.000, 0.500, 0.000)
Ni (0.000, 0.000, 0.000)
F (0.000, 0.000, 0.500)
H (0.500, 0.500, 0.500)

Calculated values
E ... -3.315 eV per atom
Space-group type ... P4/mmm, No. 123
Density of states at the Fermi level ... 0.681 states/eV per atom
Crystal system ... tetragonal